LiVTcO6, optimized geometry, DFT PBE with a Hubbard U; VASP energy = -63.38 eV/f.u.
1.0
5.054 0.000 0.000
-2.527 4.377 0.000
0.000 0.000 9.327
Li V Tc O
2 2 2 12
direct
0.000 0.000 0.000
0.000 0.000 0.500
0.333 0.667 0.250
0.667 0.333 0.750
0.333 0.667 0.750
0.667 0.333 0.250
0.003 0.368 0.139
0.003 0.635 0.361
0.365 0.368 0.361
0.365 0.997 0.139
0.368 0.003 0.639
0.368 0.365 0.861
0.632 0.635 0.139
0.632 0.997 0.361
0.635 0.003 0.861
0.635 0.632 0.639
0.997 0.365 0.639
0.997 0.632 0.861

Li2VTcO6, optimized geometry, DFT PBE with a Hubbard U; VASP energy = -68.36 eV/f.u.
1.0
5.423 0.000 0.000
0.000 5.423 0.000
0.000 0.000 3.846
Li V Tc O
2 1 1 6
direct
0.000 0.500 0.000
0.500 0.000 0.000
0.000 0.000 0.723
0.500 0.500 0.778
0.000 0.000 0.285
0.246 0.246 0.795
0.246 0.754 0.795
0.500 0.500 0.286
0.754 0.246 0.795
0.754 0.754 0.795

LiV2TcO, optimized geometry, DFT PBE with a Hubbard U; VASP energy = -21.63 eV/f.u.
1.0
4.273 0.000 0.000
0.000 4.273 0.000
0.000 0.000 4.044
Li V Tc O
1 2 1 1
direct
0.000 0.000 0.000
0.000 0.500 0.000
0.500 0.000 0.000
0.000 0.000 0.500
0.500 0.500 0.500